[1]
12
Lattice="6.739 0.000 0.000 0.000 6.739 0.000 0.000 0.000 6.739" Properties=species:S:1:pos:R:3 comment="RhPb2 | Alexandria via LeMat-Bulk | PBE-GGA | relaxed" total_magnetization_mub_per_atom=0.000 space_group="Pa-3, No. 205" ef_ev_per_fu=0.06 crystal_system=cubic pbc="T T T"
Pb 4.413 4.413 2.326
Pb 2.326 2.326 4.413
Pb 1.044 5.696 4.413
Pb 5.696 1.044 2.326
Pb 2.326 1.044 1.044
Pb 4.413 5.696 5.696
Pb 5.696 2.326 5.696
Pb 1.044 4.413 1.044
Rh 0.000 0.000 0.000
Rh 3.370 3.370 0.000
Rh 3.370 0.000 3.370
Rh 0.000 3.370 3.370

[2]
15
Lattice="-2.161 7.828 0.045 -3.650 -5.191 -5.068 -2.268 -0.678 8.834" Properties=species:S:1:pos:R:3 comment="Dy3MnTl3Se8 | Alexandria via LeMat-Bulk | PBE-GGA | relaxed" total_magnetization_mub_per_atom=0.209 space_group="R-3m, No. 166" e_form_raw_kj_per_mol_atoms=-109.3 crystal_system=trigonal pbc="T T T"
Dy -2.215 3.575 4.440
Dy -4.040 0.979 1.906
Dy -2.959 -2.934 1.883
Mn -1.134 -0.339 4.417
Tl 0.000 0.000 0.000
Tl -1.825 -2.595 -2.534
Tl -2.905 1.318 -2.511
Se -3.166 -0.874 -0.078
Se -4.914 2.832 3.890
Se -4.490 2.973 -0.119
Se -3.589 -1.014 3.932
Se -2.492 5.813 2.654
Se -5.587 -3.855 1.158
Se -1.309 1.530 2.629
Se -6.770 0.428 1.183

[3]
5
Lattice="4.595 0.000 0.000 0.000 4.595 0.000 0.000 0.000 4.595" Properties=species:S:1:pos:R:3 comment="ZnCu3Cl | Alexandria via LeMat-Bulk | PBE-GGA | relaxed" total_magnetization_mub_per_atom=0.000 space_group="Pm-3m, No. 221" e_form_raw_kj_per_mol_atoms=65.4 de_polymorph_mev_per_atom=0 crystal_system=cubic pbc="T T T"
Zn 0.000 0.000 0.000
Cu 0.000 2.298 0.000
Cu 0.000 0.000 2.298
Cu 2.298 0.000 0.000
Cl 2.298 2.298 2.298

[4]
5
Lattice="4.826 0.000 0.000 0.000 4.826 0.000 0.000 0.000 5.368" Properties=species:S:1:pos:R:3 comment="KNa2AgF | Alexandria via LeMat-Bulk | PBE-GGA | relaxed" total_magnetization_mub_per_atom=0.000 space_group="P4/mmm, No. 123" e_form_raw_kj_per_mol_atoms=-95.2 crystal_system=tetragonal pbc="T T T"
Na 0.000 2.413 0.000
Na 2.413 0.000 0.000
K 0.000 0.000 2.684
Ag 2.413 2.413 2.684
F 0.000 0.000 0.000

[5]
12
Lattice="3.966 0.000 0.000 0.000 7.901 0.300 -1.983 -2.261 8.329" Properties=species:S:1:pos:R:3 comment="Er6As2PS3 | Alexandria via LeMat-Bulk | PBE-GGA | relaxed" total_magnetization_mub_per_atom=0.000 space_group="C2/m, No. 12" e_form_raw_kj_per_mol_atoms=-173.1 crystal_system=monoclinic pbc="T T T"
Er 0.000 5.751 5.884
Er 1.983 3.869 2.930
Er 1.983 -0.111 2.745
Er 1.983 -0.350 8.389
Er 0.000 5.990 0.240
Er 0.000 1.772 5.699
As 1.983 3.761 5.751
As 0.000 1.879 2.878
P 1.983 0.000 0.000
S 1.983 3.950 0.150
S 1.983 -0.188 5.590
S 0.000 5.829 3.039

[6]
8
Lattice="4.157 0.000 0.000 0.000 4.157 0.000 0.000 0.000 11.683" Properties=species:S:1:pos:R:3 comment="Ca3MgSe4 | Alexandria via LeMat-Bulk | PBE-GGA | relaxed" total_magnetization_mub_per_atom=0.000 space_group="P4/mmm, No. 123" e_form_raw_kj_per_mol_atoms=-173.9 crystal_system=tetragonal pbc="T T T"
Ca 2.079 2.079 8.821
Ca 0.000 0.000 5.841
Ca 2.079 2.079 2.862
Mg 0.000 0.000 0.000
Se 0.000 0.000 2.805
Se 2.079 2.079 0.000
Se 0.000 0.000 8.878
Se 2.079 2.079 5.841

[7]
4
Lattice="-0.892 1.955 3.505 -0.778 4.037 -0.038 -3.819 1.365 0.679" Properties=species:S:1:pos:R:3 comment="LiV2Co | Alexandria via LeMat-Bulk | PBE-GGA | relaxed" total_magnetization_mub_per_atom=0.513 space_group="Fm-3m, No. 225" ef_ev_per_fu=1.11 de_polymorph_mev_per_atom=0 crystal_system=cubic pbc="T T T"
V -1.372 1.839 1.036
V -4.117 5.518 3.109
Co -2.744 3.679 2.073
Li 0.000 0.000 0.000

[8]
4
Lattice="-5.280 0.650 -1.106 -3.899 0.285 -3.774 -1.438 -5.040 -0.054" Properties=species:S:1:pos:R:3 comment="ScIn2Mo | Alexandria via LeMat-Bulk | PBE-GGA | relaxed" total_magnetization_mub_per_atom=0.000 space_group="Cm, No. 8" ef_ev_per_fu=0.48 de_polymorph_mev_per_atom=176 crystal_system=monoclinic pbc="T T T"
In -9.155 0.922 -4.866
In -8.044 -3.025 -3.750
Mo -5.335 -2.016 -2.486
Sc -2.570 -1.102 -1.180

[9]
12
Lattice="6.975 0.000 0.001 -3.486 6.042 0.001 -1.163 -2.014 6.575" Properties=species:S:1:pos:R:3 comment="Tb2CeY3P6 | Alexandria via LeMat-Bulk | PBE-GGA | relaxed" total_magnetization_mub_per_atom=0.025 space_group="C2/m, No. 12" ef_ev_per_fu=-19.32 crystal_system=monoclinic pbc="T T T"
Tb 0.002 4.027 0.001
Tb 3.487 2.014 0.001
Ce 0.000 0.000 0.000
Y -2.323 4.026 3.288
Y 4.648 0.000 3.288
Y 1.163 2.013 3.288
P 3.485 2.019 4.928
P 2.330 4.034 1.643
P -1.159 2.008 1.649
P 0.008 4.027 4.928
P -0.004 -0.007 4.934
P 2.318 -0.001 1.649

[10]
4
Lattice="-0.906 0.623 2.947 -3.001 -1.008 -0.710 1.952 -7.331 2.150" Properties=species:S:1:pos:R:3 comment="Zr2OsCl | Alexandria via LeMat-Bulk | PBE-GGA | relaxed" total_magnetization_mub_per_atom=0.000 space_group="Pmmm, No. 47" e_form_raw_kj_per_mol_atoms=-65.7 de_polymorph_mev_per_atom=0 crystal_system=orthorhombic pbc="T T T"
Cl -0.715 -1.773 1.834
Os -1.240 -5.943 2.553
Zr 1.131 -7.314 1.894
Zr 0.297 -4.186 0.976

[11]
12
Lattice="-5.659 -0.362 -2.515 5.026 -0.831 -3.539 0.053 -5.999 3.296" Properties=species:S:1:pos:R:3 comment="Na3AlCr2S6 | Alexandria via LeMat-Bulk | PBE-GGA | relaxed" total_magnetization_mub_per_atom=0.500 space_group="C2/m, No. 12" e_form_raw_kj_per_mol_atoms=-98.8 crystal_system=monoclinic pbc="T T T"
Na 3.262 -3.752 -1.720
Na -3.842 -3.440 -1.039
Na -0.290 -3.596 -1.379
Al 0.000 0.000 0.000
Cr 1.464 -0.675 -3.198
Cr -2.097 -0.518 -2.857
S -2.225 -5.645 -1.831
S -0.453 -2.067 -3.782
S 1.645 -1.547 -0.927
S 1.340 -5.801 -2.173
S -0.127 -5.124 1.023
S -1.919 -1.391 -0.586

[12]
5
Lattice="3.397 0.776 0.535 0.940 7.440 -4.825 0.940 -1.864 8.670" Properties=species:S:1:pos:R:3 comment="DyHoTh3 | Alexandria via LeMat-Bulk | PBE-GGA | relaxed" total_magnetization_mub_per_atom=0.000 space_group="C2, No. 5" ef_ev_per_fu=1.72 de_polymorph_mev_per_atom=0 crystal_system=monoclinic pbc="T T T"
Dy 2.639 -1.148 8.461
Ho 0.940 4.207 -0.135
Th 3.703 0.853 3.251
Th 1.575 3.010 4.739
Th 0.940 0.070 5.864